1.
# Ba4BeMo

A relaxed structure of Ba4BeMo (GGA-PBE, Alexandria).

Unit cell a=7.104 b=7.104 c=7.104 alpha=60.00 beta=60.00 gamma=60.00
Last column: magnetic moment on the atom in μB.
Atoms (fractional coordinates):
Ba 0.874 0.375 0.375  -0.13
Ba 0.375 0.375 0.874  -0.13
Ba 0.375 0.874 0.375  -0.13
Ba 0.375 0.375 0.375  -0.13
Be 0.750 0.750 0.750  -0.06
Mo 0.000 0.000 0.000  3.46

Output
For the energy, the calculation gives -2.2940 eV/atom. As for the symmetry: F-43m (216). For the size of the total moment, the calculation gives 2.9 μB/f.u. Its energy of formation is 32.609 kcal/mol of atoms.

2.
# Ba2BeMoN

A relaxed structure of Ba2BeMoN (GGA-PBE, Alexandria).

Unit cell a=5.918 b=4.364 c=5.918 alpha=90.00 beta=90.00 gamma=90.00
Last column: magnetic moment on the atom in μB.
Atoms (fractional coordinates):
Be 0.000 0.000 0.000  -0.08
Mo 0.000 0.500 0.000  2.34
Ba 0.000 0.000 0.500  0.04
Ba 0.500 0.000 0.000  0.01
N 0.500 0.500 0.500  0.06

Output
For the energy, the calculation gives -3.9378 eV/atom. As for the symmetry: P4/mmm (123). For the size of the total moment, the calculation gives 3.1 μB/f.u.